# PBE Pa2Ga4Ge2Os, optimized geometry
data_Pa2Ga4Ge2Os
_chemical_formula_sum 'Pa2 Ga4 Ge2 Os1'
_space_group_name_H-M_alt 'P 1'
_space_group_IT_number 1
_cell_length_a 6.236
_cell_length_b 6.236
_cell_length_c 6.236
_cell_angle_alpha 120.97
_cell_angle_beta 120.97
_cell_angle_gamma 88.32
loop_
_space_group_symop_operation_xyz
'x,y,z'
loop_
_atom_site_label
_atom_site_type_symbol
_atom_site_fract_x
_atom_site_fract_y
_atom_site_fract_z
Pa1 Pa 0.250 0.750 0.500
Pa2 Pa 0.750 0.250 0.500
Ga1 Ga 0.215 0.215 0.430
Ga2 Ga 0.215 0.785 0.000
Ga3 Ga 0.785 0.215 0.000
Ga4 Ga 0.785 0.785 0.570
Ge1 Ge 0.223 0.223 0.000
Ge2 Ge 0.777 0.777 0.000
Os1 Os 0.500 0.500 0.000
# * DOS(E_F): 8.95 states/eV/cell
# * calculated total energy: -6.036 eV per atom
# * energy of formation: -0.306 eV per atom